(1)
Here is MgMnI6 after structural relaxation from Alexandria. Energies are from PBE-GGA.

Calculated values
V = 44.112 A^3/atom
Crystal system = monoclinic
Calculated total energy = -3.007 eV per atom

a = 7.7107 Å, b = 7.7107 Å, c = 6.9447 Å
α = 91.68°, β = 91.68°, γ = 121.11°
Positions (direct):
1 Mg 0.0000 0.0000 0.0000
2 Mn 0.0000 0.0000 0.5000
3 I 0.2863 0.0023 0.2819
4 I 0.0023 0.2863 0.2819
5 I 0.9977 0.7137 0.7181
6 I 0.7137 0.9977 0.7181
7 I 0.2921 0.2921 0.7467
8 I 0.7079 0.7079 0.2533

=====

(2)
Here is Ho4Er2Al after structural relaxation from Alexandria. Energies are from PBE-GGA.

Calculated values
V = 29.619 A^3/atom
Energy of formation = -0.043 eV/atom
Crystal system = trigonal

a = 3.5790 Å, b = 3.5790 Å, c = 18.8043 Å
α = 84.54°, β = 84.54°, γ = 60.00°
Positions (direct):
1 Ho 0.7068 0.7068 0.8797
2 Ho 0.9082 0.9082 0.2754
3 Ho 0.2932 0.2932 0.1203
4 Ho 0.0918 0.0918 0.7246
5 Er 0.8085 0.8085 0.5745
6 Er 0.1915 0.1915 0.4255
7 Al 0.0000 0.0000 0.0000

=====

What did the first record say?
Here is MgMnI6 after structural relaxation from Alexandria. Energies are from PBE-GGA.

Calculated values
V = 44.112 A^3/atom
Crystal system = monoclinic
Calculated total energy = -3.007 eV per atom

a = 7.7107 Å, b = 7.7107 Å, c = 6.9447 Å
α = 91.68°, β = 91.68°, γ = 121.11°
Positions (direct):
1 Mg 0.0000 0.0000 0.0000
2 Mn 0.0000 0.0000 0.5000
3 I 0.2863 0.0023 0.2819
4 I 0.0023 0.2863 0.2819
5 I 0.9977 0.7137 0.7181
6 I 0.7137 0.9977 0.7181
7 I 0.2921 0.2921 0.7467
8 I 0.7079 0.7079 0.2533

=====

Which formula does entry 2 have?
Ho4Er2Al